--- w ---
Here is HfNiAsPt after structural relaxation from the Open Quantum Materials Database. Energies are from GGA-PBE.

The structure in POSCAR format:
```
HfNiAsPt
1.0
6.3741 0.0000 0.0000
0.0000 6.3741 0.0000
0.0000 0.0000 6.3741
Hf Ni As Pt
4 4 4 4
direct
0.0000 0.0000 0.0000
0.0000 0.5000 0.5000
0.5000 0.0000 0.5000
0.5000 0.5000 0.0000
0.2500 0.2500 0.7500
0.2500 0.7500 0.2500
0.7500 0.2500 0.2500
0.7500 0.7500 0.7500
0.0000 0.0000 0.5000
0.0000 0.5000 0.0000
0.5000 0.0000 0.0000
0.5000 0.5000 0.5000
0.2500 0.2500 0.2500
0.2500 0.7500 0.7500
0.7500 0.2500 0.7500
0.7500 0.7500 0.2500
```

Values from the calculation:
Volume ... 259 Å³ per cell
Spin magnetization ... 0.00 μB/f.u.
Crystal system ... cubic

=====

--- x ---
Here is HfNiAsPt after structural relaxation from the Open Quantum Materials Database. Energies are from GGA-PBE.

The structure in POSCAR format:
```
HfNiAsPt
1.0
6.3488 0.0000 0.0000
0.0000 6.3488 0.0000
0.0000 0.0000 6.3488
Hf Ni As Pt
4 4 4 4
direct
0.0000 0.0000 0.0000
0.0000 0.5000 0.5000
0.5000 0.0000 0.5000
0.5000 0.5000 0.0000
0.0000 0.0000 0.5000
0.0000 0.5000 0.0000
0.5000 0.0000 0.0000
0.5000 0.5000 0.5000
0.2500 0.2500 0.2500
0.2500 0.7500 0.7500
0.7500 0.2500 0.7500
0.7500 0.7500 0.2500
0.2500 0.2500 0.7500
0.2500 0.7500 0.2500
0.7500 0.2500 0.2500
0.7500 0.7500 0.7500
```

Values from the calculation:
Volume ... 256 Å³ per cell
Spin magnetization ... 0.03 μB/f.u.
Crystal system ... cubic

=====

Which of them is the most stable, and which is the least stable? x and w, in that order.